a.
Li2Ca2Pd | PBE | optimized geometry

As for the volume: 292 Å³ per cell.

The structure belongs to space group P4/mbm (No. 127); the cell edges are 7.5367, 7.5367 and 5.1453 Å and the angles 90.00°, 90.00° and 90.00°. Symmetry generates all atoms from Li at (0.1496, 0.3504, 0.0000), Ca at (0.1682, 0.6682, 0.5000) and Pd at (0.0000, 0.0000, 0.5000).

b.
Li2Ca2Pd | PBE | optimized geometry

As for the volume: 250 Å³ per cell.

The structure belongs to space group I4/mmm (No. 139); the cell edges are 3.6459, 3.6459 and 18.8388 Å and the angles 90.00°, 90.00° and 90.00°. Symmetry generates all atoms from Li at (0.0000, 0.5000, 0.2500), Ca at (0.0000, 0.0000, 0.0900) and Pd at (0.0000, 0.0000, 0.5000).

c.
Li2Ca2Pd | PBE | optimized geometry

As for the volume: 239 Å³ per cell.

The structure belongs to space group Immm (No. 71); the cell edges are 4.7151, 5.2115 and 9.7300 Å and the angles 90.00°, 90.00° and 90.00°. Symmetry generates all atoms from Li at (0.0000, 0.2384, 0.0000), Ca at (0.0000, 0.0000, 0.3117) and Pd at (0.0000, 0.5000, 0.5000).

Q: What are the energies relative to the best structure? A: a 246; b 32; c 0, in meV/atom.

a.
LiCa3Pd | PBE | optimized geometry

As for the volume: 294 Å³ per cell.

The structure belongs to space group P2_1/m (No. 11); the cell edges are 8.6620, 4.0510 and 8.9842 Å and the angles 90.00°, 111.27° and 90.00°. Symmetry generates all atoms from Li at (0.0597, 0.2500, 0.0927), Ca at (0.1179, 0.2500, 0.7139), Ca at (0.3212, 0.2500, 0.4399), Ca at (0.3865, 0.7500, 0.0982) and Pd at (0.3782, 0.7500, 0.7033).

b.
LiCa3Pd | PBE | optimized geometry

As for the volume: 179 Å³ per cell.

The structure belongs to space group Pm-3m (No. 221); the cell edges are 5.6348, 5.6348 and 5.6348 Å and the angles 90.00°, 90.00° and 90.00°. Symmetry generates all atoms from Li at (0.0000, 0.0000, 0.0000), Ca at (0.0000, 0.5000, 0.5000) and Pd at (0.5000, 0.5000, 0.5000).

Q: What are the energies relative to the best structure? A: a 0; b 48, in meV/atom.

a.
Li2CaPd | PBE | optimized geometry

As for the volume: 171 Å³ per cell.

The structure belongs to space group P2_1/m (No. 11); the cell edges are 4.1970, 7.9166 and 5.5425 Å and the angles 90.00°, 112.02° and 90.00°. Symmetry generates all atoms from Li at (0.1648, 0.0596, 0.3285), Ca at (0.4401, 0.2500, 0.8809) and Pd at (0.2693, 0.7500, 0.5395).

b.
Li2CaPd | PBE | optimized geometry

As for the volume: 301 Å³ per cell.

The structure belongs to space group Fm-3m (No. 225); the cell edges are 6.7030, 6.7030 and 6.7030 Å and the angles 90.00°, 90.00° and 90.00°. Symmetry generates all atoms from Li at (0.2500, 0.2500, 0.2500), Ca at (0.0000, 0.0000, 0.0000) and Pd at (0.0000, 0.0000, 0.5000).

c.
Li2CaPd | PBE | optimized geometry

As for the volume: 343 Å³ per cell.

The structure belongs to space group I-42d (No. 122); the cell edges are 4.0997, 4.0997 and 20.4298 Å and the angles 90.00°, 90.00° and 90.00°. Symmetry generates all atoms from Li at (0.1896, 0.2500, 0.1250), Ca at (0.0000, 0.0000, 0.5000) and Pd at (0.0000, 0.0000, 0.0000).

d.
Li2CaPd | PBE | optimized geometry

As for the volume: 79 Å³ per cell.

The structure belongs to space group P4/mmm (No. 123); the cell edges are 3.5631, 3.5631 and 6.1838 Å and the angles 90.00°, 90.00° and 90.00°. Symmetry generates all atoms from Li at (0.0000, 0.0000, 0.1839), Ca at (0.5000, 0.5000, 0.5000) and Pd at (0.5000, 0.5000, 0.0000).

Q: What are the energies relative to the best structure? A: a 0; b 91; c 156; d 149, in meV/atom.

a.
Li2CaPd | PBE | optimized geometry

As for the volume: 674 Å³ per cell.

The structure belongs to space group Pnma (No. 62); the cell edges are 15.5925, 7.8148 and 5.5329 Å and the angles 90.00°, 90.00° and 90.00°. Symmetry generates all atoms from Li at (0.0432, 0.0604, 0.2179), Li at (0.2101, 0.5587, 0.0375), Ca at (0.1067, 0.2500, 0.7437), Ca at (0.1389, 0.7500, 0.5367), Pd at (0.0679, 0.7500, 0.0334) and Pd at (0.1870, 0.2500, 0.2541).

b.
Li2CaPd | PBE | optimized geometry

As for the volume: 81 Å³ per cell.

The structure belongs to space group P4/mmm (No. 123); the cell edges are 4.1349, 4.1349 and 4.7666 Å and the angles 90.00°, 90.00° and 90.00°. Symmetry generates all atoms from Li at (0.0000, 0.5000, 0.0000), Ca at (0.0000, 0.0000, 0.5000) and Pd at (0.5000, 0.5000, 0.5000).

Q: What are the energies relative to the best structure? A: a 0; b 85, in meV/atom.

a.
Li4Ca3Pd4 | PBE | optimized geometry

As for the volume: 438 Å³ per cell.

The structure belongs to space group Immm (No. 71); the cell edges are 4.2192, 7.2405 and 14.3231 Å and the angles 90.00°, 90.00° and 90.00°. Symmetry generates all atoms from Li at (0.0000, 0.1913, 0.1729), Ca at (0.0000, 0.0000, 0.3770), Ca at (0.0000, 0.5000, 0.5000), Pd at (0.0000, 0.3116, 0.0000) and Pd at (0.0000, 0.5000, 0.2795).

b.
Li4Ca3Pd4 | PBE | optimized geometry

As for the volume: 439 Å³ per cell.

The structure belongs to space group I-43m (No. 217); the cell edges are 7.5989, 7.5989 and 7.5989 Å and the angles 90.00°, 90.00° and 90.00°. Symmetry generates all atoms from Li at (0.1235, 0.1235, 0.1235), Ca at (0.0000, 0.0000, 0.5000) and Pd at (0.1968, 0.1968, 0.8032).

Q: What are the energies relative to the best structure? A: a 0; b 92, in meV/atom.

a.
LiCaPd3 | PBE | optimized geometry

As for the volume: 181 Å³ per cell.

The structure belongs to space group P2_1/m (No. 11); the cell edges are 5.7929, 5.9066 and 5.8015 Å and the angles 90.00°, 114.25° and 90.00°. Symmetry generates all atoms from Li at (0.0722, 0.2500, 0.4286), Ca at (0.2506, 0.7500, 0.2499), Pd at (0.2815, 0.9999, 0.7818) and Pd at (0.3126, 0.2500, 0.1867).

b.
LiCaPd3 | PBE | optimized geometry

As for the volume: 87 Å³ per cell.

The structure belongs to space group Pm-3m (No. 221); the cell edges are 4.4352, 4.4352 and 4.4352 Å and the angles 90.00°, 90.00° and 90.00°. Symmetry generates all atoms from Li at (0.0000, 0.0000, 0.0000), Ca at (0.5000, 0.5000, 0.5000) and Pd at (0.0000, 0.0000, 0.5000).

c.
LiCaPd3 | PBE | optimized geometry

As for the volume: 126 Å³ per cell.

The structure belongs to space group Pm-3m (No. 221); the cell edges are 5.0070, 5.0070 and 5.0070 Å and the angles 90.00°, 90.00° and 90.00°. Symmetry generates all atoms from Li at (0.0000, 0.0000, 0.0000), Ca at (0.5000, 0.5000, 0.5000) and Pd at (0.0000, 0.5000, 0.5000).

Q: What are the energies relative to the best structure? A: a 0; b 84; c 892, in meV/atom.